DFT (PBE+U) results for a relaxed CoBiOsO6 crystal.

Summary:
**Density of states at the Fermi level**: 4.74 states/eV/cell
**DFT total energy**: -6.572 eV/atom
**Spin magnetization**: 0.199 μB per atom

abc: 5.1157 5.1157 4.9333
angles: 90.00 90.00 120.00
Space group P312 (No. 149)
One atom of each set of equivalent atoms:
Co  0.0000  0.0000  0.0000 [1 per cell]
Bi  0.3333  0.6667  0.5000 [1 per cell]
Os  0.6667  0.3333  0.0000 [1 per cell]
O  0.3303  0.0385  0.2149 [6 per cell]